1.
Nd5Ho3Tm3 after structural relaxation, computed with PBE-GGA.

Lattice parameters (Å, degrees): 11.2394 11.2394 3.4474 90.00 90.00 120.00
Last column: nearest neighbours and their distance in Å.
Space group P-62m (No. 189)
One atom of each set of equivalent atoms:
Nd1 0.0000 0.3380 0.0000  2 Tm 3.29, 2 Ho 3.37, 2 Nd 3.45
Nd2 0.3333 0.6667 0.0000  5 Nd 3.45-3.72, 6 Ho 3.83
Ho1 0.0000 0.5959 0.5000  2 Tm 3.25, 2 Nd 3.37, 2 Ho 3.45
Tm1 0.0000 0.8409 0.0000  4 Tm 3.10-3.45, 2 Ho 3.25, 2 Nd 3.29

Calculated values
**Calculated volume**: 377 Å³/cell
**Energy above the most stable polymorph in this dataset**: 0.000 eV per atom
**Calculated total energy**: -4.318 eV per atom
**Mass density**: 7.59 g/cm3
**Magnetization**: 0.00 μB/atom

=====

2.
Pr2SmHg3 after structural relaxation, computed with PBE-GGA.

Lattice parameters (Å, degrees): 5.4174 16.2760 7.7162 90.00 90.00 90.00
Last column: nearest neighbours and their distance in Å.
Space group Cmmm (No. 65)
One atom of each set of equivalent atoms:
Pr1 0.0000 0.0000 0.0000  8 Hg 3.35-3.39
Pr2 0.0000 0.0000 0.5000  8 Hg 3.30-3.32
Pr3 0.0000 0.3341 0.0000  8 Hg 3.34-3.36
Sm1 0.0000 0.3335 0.5000  8 Hg 3.27-3.31
Hg1 0.0000 0.1689 0.2576  3 Sm 3.27-3.29, 5 Pr 3.32-3.39
Hg2 0.0000 0.5000 0.2546  6 Pr 3.30-3.35, 2 Sm 3.31

Calculated values
**Calculated volume**: 680 Å³/cell
**Calculated total energy**: -3.003 eV per atom
**Mass density**: 10.09 g/cm3
**Magnetization**: 0.23 μB/atom